Model 1:
VASP calculation (meta-GGA SCAN) on TlCO2 at its PBEsol-relaxed geometry.

The mass density is 8419 kg/m3.

The space group is Fd-3m (No. 227, origin choice 2) and the conventional cell measures 7.318, 7.318 and 7.318 Å, with angles of 90.00, 90.00 and 90.00 degrees. The distinct sites, in fractional coordinates, are Tl at (0.125, 0.125, 0.125), C at (0.125, 0.125, 0.625) and O at (0.000, 0.000, 0.500).



Model 2:
VASP calculation (meta-GGA SCAN) on TlCO2 at its PBEsol-relaxed geometry.

The mass density is 6622 kg/m3.

The space group is P2_1/c (No. 14) and the conventional cell measures 6.531, 5.743 and 6.704 Å, with angles of 90.00, 97.78 and 90.00 degrees. The distinct sites, in fractional coordinates, are Tl at (0.181, 0.061, 0.319), C at (0.430, 0.598, 0.449), O at (0.237, 0.583, 0.456) and O at (0.484, 0.238, 0.635).



Least stable structure: model 1



Model 1:
VASP calculation (meta-GGA SCAN) on OsC3 at its PBEsol-relaxed geometry.

The mass density is 11241 kg/m3.

The space group is Pm-3m (No. 221) and the conventional cell measures 3.221, 3.221 and 3.221 Å, with angles of 90.00, 90.00 and 90.00 degrees. The distinct sites, in fractional coordinates, are Os at (0.000, 0.000, 0.000) and C at (0.000, 0.500, 0.500).



Model 2:
VASP calculation (meta-GGA SCAN) on OsC3 at its PBEsol-relaxed geometry.

The mass density is 11511 kg/m3.

The space group is P-6m2 (No. 187) and the conventional cell measures 2.6412, 2.6412 and 5.4029 Å, with angles of 90.00, 90.00 and 120.00 degrees. The distinct sites, in fractional coordinates, are Os at (0.0000, 0.0000, 0.0000), C at (0.0000, 0.0000, 0.5000) and C at (0.6667, 0.3333, 0.3045).



Least stable structure: model 1



Model 1:
VASP calculation (meta-GGA SCAN) on Os3C at its PBEsol-relaxed geometry.

The mass density is 20190 kg/m3.

The space group is R-3m (No. 166, hexagonal axes) and the conventional cell measures 2.7415, 2.7415 and 22.0879 Å, with angles of 90.00, 90.00 and 120.00 degrees. The distinct sites, in fractional coordinates, are Os at (0.0000, 0.0000, 0.0000), Os at (0.0000, 0.0000, 0.2322) and C at (0.0000, 0.0000, 0.5000).



Model 2:
VASP calculation (meta-GGA SCAN) on Os3C at its PBEsol-relaxed geometry.

The mass density is 19447 kg/m3.

The space group is Immm (No. 71) and the conventional cell measures 2.717, 3.435 and 10.661 Å, with angles of 90.00, 90.00 and 90.00 degrees. The distinct sites, in fractional coordinates, are Os at (0.000, 0.000, 0.000), Os at (0.000, 0.000, 0.317) and C at (0.000, 0.000, 0.500).



Least stable structure: model 1



Model 1:
VASP calculation (meta-GGA SCAN) on Os3C at its PBEsol-relaxed geometry.

The mass density is 20271 kg/m3.

The space group is P-6m2 (No. 187) and the conventional cell measures 2.7771, 2.7771 and 7.1466 Å, with angles of 90.00, 90.00 and 120.00 degrees. The distinct sites, in fractional coordinates, are Os at (0.0000, 0.0000, 0.0000), Os at (0.3333, 0.6667, 0.3051) and C at (0.0000, 0.0000, 0.5000).



Model 2:
VASP calculation (meta-GGA SCAN) on Os3C at its PBEsol-relaxed geometry.

The mass density is 19401 kg/m3.

The space group is Pmm2 (No. 25) and the conventional cell measures 2.737, 2.794 and 6.521 Å, with angles of 90.00, 90.00 and 90.00 degrees. The distinct sites, in fractional coordinates, are Os at (0.000, 0.000, 0.000), Os at (0.000, 0.500, 0.383), Os at (0.500, 0.500, 0.736) and C at (0.500, 0.000, 0.260).



Least stable structure: model 2